# La3Mn4AgO12 | the Alexandria database | GGA+U | optimized geometry
data_La3Mn4AgO12
_chemical_formula_sum 'La3 Mn4 Ag1 O12'
_cell_length_a 5.5065
_cell_length_b 5.5634
_cell_length_c 7.7893
_cell_angle_alpha 90.00
_cell_angle_beta 90.66
_cell_angle_gamma 90.00
_space_group_name_H-M_alt 'P 1 2 1'
_space_group_IT_number 3
loop_
_space_group_symop_operation_xyz
'x,y,z'
'-x,y,-z'
loop_
_atom_site_label
_atom_site_type_symbol
_atom_site_fract_x
_atom_site_fract_y
_atom_site_fract_z
La1 La 0.0000 0.0000 0.0000
La2 La 0.0000 0.0014 0.5000
La3 La 0.5000 0.5014 0.5000
Mn1 Mn 0.0012 0.4991 0.2459
Mn2 Mn 0.4981 0.9974 0.7540
Ag1 Ag 0.5000 0.4960 0.0000
O1 O 0.0000 0.4421 0.5000
O2 O 0.0000 0.5642 0.0000
O3 O 0.2100 0.2087 0.7694
O4 O 0.2259 0.7752 0.2862
O5 O 0.2644 0.7327 0.7048
O6 O 0.2742 0.2681 0.2235
O7 O 0.5000 0.0613 0.5000
O8 O 0.5000 0.9277 0.0000
# - electronic total energy (eV/atom) = -7.493
# - total magnetization (μB per formula unit) = 13.993